Entry 1:
The following is a PBE calculation of crystalline KHg2BiAu at its relaxed geometry, from Alexandria via LeMat-Bulk.

Cell: 5.9988 5.9988 5.5210 Å, 90.00 90.00 90.00°
With the nearest neighbours (Å) after each atom.
Atoms (fractional coordinates):
K  0.0000  0.0000  0.0000  8 Hg 4.08, 4 Au 4.24
Hg  0.0000  0.5000  0.5000  2 Bi 3.00
Hg  0.5000  0.0000  0.5000  2 Bi 3.00
Bi  0.5000  0.5000  0.5000  2 Au 2.76, 4 Hg 3.00
Au  0.5000  0.5000  0.0000  2 Bi 2.76

Results
Fermi-level density of states (states/eV/f.u.): 1.7
Calculated total energy (eV per cell): -9.0
DFT formation energy (kcal/mol of atoms): -0.4
Magnetization (μB per atom): 0.00
Polymorph energy (0 for the lowest one) (eV per formula unit): 0.114

---

Entry 2:
The following is a PBE calculation of crystalline YReCl2 at its relaxed geometry, from Alexandria via LeMat-Bulk.

Cell: 3.1660 3.1660 9.0981 Å, 90.00 90.00 90.00°
With the nearest neighbours (Å) after each atom.
Atoms (fractional coordinates):
Y  0.0000  0.0000  0.0000  4 Cl 2.85, 4 Re 3.09, 4 Y 3.17
Re  0.5000  0.5000  0.7664  4 Cl 2.66
Cl  0.0000  0.0000  0.6086  4 Re 2.66
Cl  0.5000  0.5000  0.1938  4 Y 2.85, 4 Cl 3.17

Results
Fermi-level density of states (states/eV/f.u.): 2.7
Calculated total energy (eV per cell): -23.9
Magnetization (μB per atom): 0.00
Polymorph energy (0 for the lowest one) (eV per formula unit): 0.608

---

Entry 3:
The following is a PBE calculation of crystalline LiLaMgGe at its relaxed geometry, from Alexandria via LeMat-Bulk.

Cell: 7.1231 7.1231 7.1231 Å, 90.00 90.00 90.00°
With the nearest neighbours (Å) after each atom.
Atoms (fractional coordinates):
Li  0.0000  0.0000  0.0000  4 La 3.08, 4 Mg 3.08
Li  0.0000  0.5000  0.5000  4 La 3.08, 4 Mg 3.08
Li  0.5000  0.0000  0.5000  4 La 3.08, 4 Mg 3.08
Li  0.5000  0.5000  0.0000  4 La 3.08, 4 Mg 3.08
La  0.2500  0.2500  0.2500  4 Ge 3.08, 4 Li 3.08
La  0.2500  0.7500  0.7500  4 Ge 3.08, 4 Li 3.08
La  0.7500  0.2500  0.7500  4 Ge 3.08, 4 Li 3.08
La  0.7500  0.7500  0.2500  4 Ge 3.08, 4 Li 3.08
Mg  0.2500  0.2500  0.7500  4 Ge 3.08, 4 Li 3.08
Mg  0.2500  0.7500  0.2500  4 Ge 3.08, 4 Li 3.08
Mg  0.7500  0.2500  0.2500  4 Ge 3.08, 4 Li 3.08
Mg  0.7500  0.7500  0.7500  4 Ge 3.08, 4 Li 3.08
Ge  0.0000  0.0000  0.5000  4 La 3.08, 4 Mg 3.08
Ge  0.0000  0.5000  0.0000  4 La 3.08, 4 Mg 3.08
Ge  0.5000  0.0000  0.0000  4 La 3.08, 4 Mg 3.08
Ge  0.5000  0.5000  0.5000  4 La 3.08, 4 Mg 3.08

Results
Fermi-level density of states (states/eV/f.u.): 1.8
Calculated total energy (eV per cell): -57.7
DFT formation energy (kcal/mol of atoms): -7.9
Magnetization (μB per atom): 0.00

---

Entry 4:
The following is a PBE calculation of crystalline Tm2Si4RuPt3 at its relaxed geometry, from Alexandria via LeMat-Bulk.

Cell: 4.1044 4.1044 10.0084 Å, 90.00 90.00 90.00°
With the nearest neighbours (Å) after each atom.
Atoms (fractional coordinates):
Tm  0.0000  0.5000  0.2498  6 Pt 3.14-3.24, 8 Si 3.14-3.23, 2 Ru 3.24
Tm  0.5000  0.0000  0.7502  6 Pt 3.14-3.24, 8 Si 3.14-3.23, 2 Ru 3.24
Si  0.0000  0.0000  0.0000  4 Pt 2.43
Si  0.0000  0.5000  0.6304  3 Pt 2.39-2.43, 2 Ru 2.43
Si  0.5000  0.0000  0.3696  3 Pt 2.39-2.43, 2 Ru 2.43
Si  0.5000  0.5000  0.0000  4 Pt 2.43
Ru  0.0000  0.0000  0.5000  4 Si 2.43
Pt  0.0000  0.5000  0.8694  5 Si 2.39-2.43
Pt  0.5000  0.0000  0.1306  5 Si 2.39-2.43
Pt  0.5000  0.5000  0.5000  4 Si 2.43

Results
Fermi-level density of states (states/eV/f.u.): 2.2
Calculated total energy (eV per cell): -68.6
Magnetization (μB per atom): 0.00

---

Entry 5:
The following is a PBE calculation of crystalline HfTaMnNi at its relaxed geometry, from Alexandria via LeMat-Bulk.

Cell: 6.2320 6.2320 6.2320 Å, 90.00 90.00 90.00°
With the nearest neighbours (Å) after each atom.
Atoms (fractional coordinates):
Hf  0.0000  0.0000  0.0000  4 Mn 2.70, 4 Ni 2.70
Hf  0.0000  0.5000  0.5000  4 Mn 2.70, 4 Ni 2.70
Hf  0.5000  0.0000  0.5000  4 Mn 2.70, 4 Ni 2.70
Hf  0.5000  0.5000  0.0000  4 Mn 2.70, 4 Ni 2.70
Ta  0.0000  0.0000  0.5000  4 Mn 2.70, 4 Ni 2.70
Ta  0.0000  0.5000  0.0000  4 Mn 2.70, 4 Ni 2.70
Ta  0.5000  0.0000  0.0000  4 Mn 2.70, 4 Ni 2.70
Ta  0.5000  0.5000  0.5000  4 Mn 2.70, 4 Ni 2.70
Mn  0.2500  0.2500  0.7500  4 Hf 2.70, 4 Ta 2.70
Mn  0.2500  0.7500  0.2500  4 Hf 2.70, 4 Ta 2.70
Mn  0.7500  0.2500  0.2500  4 Hf 2.70, 4 Ta 2.70
Mn  0.7500  0.7500  0.7500  4 Hf 2.70, 4 Ta 2.70
Ni  0.2500  0.2500  0.2500  4 Hf 2.70, 4 Ta 2.70
Ni  0.2500  0.7500  0.7500  4 Hf 2.70, 4 Ta 2.70
Ni  0.7500  0.2500  0.7500  4 Hf 2.70, 4 Ta 2.70
Ni  0.7500  0.7500  0.2500  4 Hf 2.70, 4 Ta 2.70

Results
Fermi-level density of states (states/eV/f.u.): 4.4
Calculated total energy (eV per cell): -150.3
DFT formation energy (kcal/mol of atoms): -4.8
Magnetization (μB per atom): 0.00

---

Entry 6:
The following is a PBE calculation of crystalline SrZn3Rh at its relaxed geometry, from Alexandria via LeMat-Bulk.

Cell: 6.0571 6.0103 6.0912 Å, 90.00 114.27 90.00°
With the nearest neighbours (Å) after each atom.
Atoms (fractional coordinates):
Sr  0.2346  0.2500  0.2703  12 Zn 3.18-3.44, 3 Rh 3.28-3.34
Sr  0.7654  0.7500  0.7297  12 Zn 3.18-3.44, 3 Rh 3.28-3.34
Zn  0.2813  0.0002  0.7825  2 Rh 2.56, 2 Zn 2.68-2.69
Zn  0.2813  0.4998  0.7825  2 Rh 2.56, 2 Zn 2.68-2.69
Zn  0.3321  0.7500  0.1643  1 Rh 2.49, 4 Zn 2.68-2.69
Zn  0.6679  0.2500  0.8357  1 Rh 2.49, 4 Zn 2.68-2.69
Zn  0.7187  0.9998  0.2175  2 Rh 2.56, 2 Zn 2.68-2.69
Zn  0.7187  0.5002  0.2175  2 Rh 2.56, 2 Zn 2.68-2.69
Rh  0.0908  0.7500  0.4113  5 Zn 2.49-2.56
Rh  0.9092  0.2500  0.5887  5 Zn 2.49-2.56

Results
Fermi-level density of states (states/eV/f.u.): 2.9
Calculated total energy (eV per cell): -28.7
DFT formation energy (kcal/mol of atoms): -6.8
Magnetization (μB per atom): 0.00
Polymorph energy (0 for the lowest one) (eV per formula unit): 0.253